[1]
LaCd11 | Alexandria | PBE-GGA | optimized geometry; polymorph energy (0 for the lowest one) = 0.000 eV per atom
1.0
9.458 0.000 0.000
0.000 9.458 0.000
0.000 0.000 9.458
La Cd
3 33
direct
0.500 0.000 0.000
0.000 0.000 0.500
0.000 0.500 0.000
0.500 0.500 0.500
0.156 0.156 0.844
0.156 0.844 0.156
0.844 0.156 0.156
0.844 0.844 0.844
0.844 0.844 0.156
0.844 0.156 0.844
0.156 0.844 0.844
0.156 0.156 0.156
0.000 0.345 0.655
0.345 0.345 0.000
0.345 0.000 0.655
0.000 0.655 0.345
0.345 0.655 0.000
0.345 0.000 0.345
0.000 0.345 0.345
0.655 0.345 0.000
0.655 0.000 0.345
0.000 0.655 0.655
0.655 0.655 0.000
0.655 0.000 0.655
0.500 0.266 0.734
0.266 0.266 0.500
0.266 0.500 0.734
0.500 0.734 0.266
0.266 0.734 0.500
0.266 0.500 0.266
0.500 0.266 0.266
0.734 0.266 0.500
0.734 0.500 0.266
0.500 0.734 0.734
0.734 0.734 0.500
0.734 0.500 0.734

---

[2]
A plane-wave DFT calculation with PBE-GGA was carried out for LaCd3 after structural relaxation.

Structure (POSCAR):
```
LaCd3
1.0
5.017 0.000 0.000
0.000 5.017 0.000
-2.509 -2.509 8.404
Cd La
6 2
direct
0.000 0.500 0.000
0.132 0.132 0.265
0.868 0.868 0.735
0.250 0.750 0.500
0.750 0.250 0.500
0.500 0.000 0.000
0.366 0.366 0.733
0.634 0.634 0.267
```

---

[3]
A plane-wave DFT calculation with PBE-GGA was carried out for LaCd2 after structural relaxation.

Structure (POSCAR):
```
LaCd2
1.0
-7.365 -2.693 5.222
-9.386 0.761 0.311
8.104 -1.667 -4.506
La Cd
2 4
direct
0.750 0.250 0.500
0.000 0.000 0.000
0.420 0.420 0.000
0.580 0.580 0.000
0.170 0.670 0.500
0.330 0.830 0.500
```

---

[4]
A plane-wave DFT calculation with PBE-GGA was carried out for LaCd after structural relaxation.

Structure (POSCAR):
```
LaCd
1.0
-0.278 1.742 4.750
-2.003 -2.893 3.646
2.978 -1.965 3.598
Cd La
1 1
direct
0.000 0.000 0.000
0.250 0.250 0.250
```

---

Calculated DFT formation energy, -173; -266; -230; 590 meV per atom (same order as the records).
Calculated total magnetic moment, 0.000; 0.000; 0.180; 0.188 μB/atom (same order as the records).
Calculated electronic total energy, -1.42; -2.18; -2.48; -2.33 eV/atom (same order as the records).